[1]
A plane-wave DFT calculation with PBE was carried out for a relaxed structure of ZrBe2Nb.

V = 59 Å³ per cell
Space-group type = P4/mmm
ΔE to the lowest computed polymorph = 0.000 eV/atom

a b c (Å): 3.246 3.246 5.584
angles (deg): 90.00 90.00 90.00
Sites, in units of the cell vectors:
Be  0.000  0.000  0.790
Be  0.000  0.000  0.210
Nb  0.500  0.500  0.000
Zr  0.500  0.500  0.500

[2]
A plane-wave DFT calculation with PBE was carried out for a relaxed structure of KCo2CuCl6.

V = 571 Å³ per cell
Space-group type = C2/c
E_form (uncorrected) = -78 kJ per mole of atoms

a b c (Å): 7.211 9.247 9.247
angles (deg): 89.29 74.39 74.39
Sites, in units of the cell vectors:
K  0.250  0.875  0.125
K  0.750  0.125  0.875
Co  0.324  0.766  0.620
Co  0.176  0.380  0.234
Co  0.676  0.234  0.380
Co  0.824  0.620  0.766
Cu  0.250  0.215  0.785
Cu  0.750  0.785  0.215
Cl  0.200  0.963  0.794
Cl  0.300  0.206  0.037
Cl  0.800  0.037  0.206
Cl  0.700  0.794  0.963
Cl  0.450  0.840  0.388
Cl  0.050  0.612  0.160
Cl  0.550  0.160  0.612
Cl  0.950  0.388  0.840
Cl  0.056  0.694  0.588
Cl  0.444  0.412  0.306
Cl  0.944  0.306  0.412
Cl  0.556  0.588  0.694

[3]
A plane-wave DFT calculation with PBE was carried out for a relaxed structure of HfPaCrSe6.

V = 232 Å³ per cell
Space-group type = P312
E_form (uncorrected) = -93 kJ per mole of atoms

a b c (Å): 6.240 6.547 6.547
angles (deg): 120.00 90.00 90.00
Sites, in units of the cell vectors:
Hf  0.500  0.667  0.333
Pa  0.000  0.333  0.667
Cr  0.500  0.000  0.000
Se  0.737  0.685  0.679
Se  0.737  0.321  0.006
Se  0.737  0.994  0.315
Se  0.263  0.321  0.315
Se  0.263  0.685  0.006
Se  0.263  0.994  0.679

Question: Look up the V of the second one.
Answer: 571 Å³ per cell